First-principles (PBE-GGA) data for a relaxed structure of MgPS2O, as listed in Alexandria via LeMat-Bulk.

Computed properties:
The space group is P4/mmm, No. 123. For the distance to the lowest polymorph of the same formula, the calculation gives 4.65 eV per formula unit. Its uncorrected formation energy is 1195 meV/atom.

Lattice parameters (Å, degrees): 4.590 4.590 5.013 90.00 90.00 90.00
Atoms (fractional coordinates):
P: 0.000 0.000 0.500
S: 0.000 0.500 0.000
S: 0.500 0.000 0.000
Mg: 0.000 0.000 0.000
O: 0.500 0.500 0.500

=====

First-principles (PBE-GGA) data for a relaxed structure of In2RuSe, as listed in Alexandria via LeMat-Bulk.

Computed properties:
The space group is R-3m, No. 166. Its uncorrected formation energy is 135 meV/atom.

Lattice parameters (Å, degrees): 7.914 7.914 7.914 26.05 26.05 26.05
Atoms (fractional coordinates):
In: 0.997 0.997 0.997
In: 0.503 0.503 0.503
Ru: 0.250 0.250 0.250
Se: 0.750 0.750 0.750

=====

First-principles (PBE-GGA) data for a relaxed structure of Sb2Cl3F2, as listed in Alexandria via LeMat-Bulk.

Computed properties:
The space group is P-1, No. 2. Its uncorrected formation energy is -1248 meV/atom.

Lattice parameters (Å, degrees): 4.504 9.980 4.612 83.78 95.96 75.01
Atoms (fractional coordinates):
Sb: 0.131 0.804 0.511
Sb: 0.869 0.196 0.489
Cl: 0.000 0.000 0.000
Cl: 0.796 0.364 0.834
Cl: 0.204 0.636 0.166
F: 0.328 0.188 0.513
F: 0.672 0.812 0.487

=====

First-principles (PBE-GGA) data for a relaxed structure of Zn2CuPt, as listed in Alexandria via LeMat-Bulk.

Computed properties:
The space group is Pmm2, No. 25. As for the formation energy: -0.328 eV/atom.

Lattice parameters (Å, degrees): 4.383 2.801 4.572 90.00 90.00 90.00
Atoms (fractional coordinates):
Zn: 0.000 0.125 0.937
Zn: 0.500 0.125 0.316
Cu: 0.000 0.625 0.437
Pt: 0.500 0.625 0.810

=====

First-principles (PBE-GGA) data for a relaxed structure of SiRu2Cl, as listed in Alexandria via LeMat-Bulk.

Computed properties:
The space group is P4/mmm, No. 123. For the distance to the lowest polymorph of the same formula, the calculation gives 0.41 eV per formula unit. Its uncorrected formation energy is 41 meV/atom.

Lattice parameters (Å, degrees): 2.946 2.946 6.631 90.00 90.00 90.00
Atoms (fractional coordinates):
Cl: 0.500 0.500 0.750
Ru: 0.000 0.000 0.042
Ru: 0.000 0.000 0.458
Si: 0.500 0.500 0.250

=====

First-principles (PBE-GGA) data for a relaxed structure of Ac4CoCuBr2, as listed in Alexandria via LeMat-Bulk.

Computed properties:
The space group is P2/m, No. 10. Its uncorrected formation energy is -726 meV/atom.

Lattice parameters (Å, degrees): 4.355 7.545 8.587 107.06 90.00 90.00
Atoms (fractional coordinates):
Ac: 0.500 0.249 0.194
Ac: 0.500 0.751 0.806
Ac: 0.000 0.279 0.808
Ac: 0.000 0.721 0.192
Co: 0.500 0.500 0.000
Cu: 0.000 0.000 0.000
Br: 0.500 0.000 0.500
Br: 0.000 0.500 0.500

=====

First-principles (PBE-GGA) data for a relaxed structure of PrY6Mg, as listed in Alexandria via LeMat-Bulk.

Computed properties:
The space group is C2/m, No. 12. For the distance to the lowest polymorph of the same formula, the calculation gives 2.20 eV per formula unit. As for the formation energy: 0.388 eV/atom.

Lattice parameters (Å, degrees): 5.936 5.936 9.393 92.85 111.50 109.96
Atoms (fractional coordinates):
Pr: 0.500 0.000 0.500
Y: 0.367 0.434 0.296
Y: 0.862 0.929 0.296
Y: 0.138 0.071 0.704
Y: 0.633 0.566 0.704
Y: 0.699 0.348 0.047
Y: 0.301 0.652 0.953
Mg: 0.000 0.000 0.000

=====

First-principles (PBE-GGA) data for a relaxed structure of Mn2SiP, as listed in Alexandria via LeMat-Bulk.

Computed properties:
The space group is F-43m, No. 216. Its uncorrected formation energy is 137 meV/atom.

Lattice parameters (Å, degrees): 4.084 4.084 4.084 60.00 60.00 60.00
Site moments in Bohr magnetons follow the coordinates.
Atoms (fractional coordinates):
Mn: 0.000 0.000 0.000  1.95
Mn: 0.750 0.750 0.750  1.39
P: 0.500 0.500 0.500  -0.04
Si: 0.250 0.250 0.250  -0.07

=====

First-principles (PBE-GGA) data for a relaxed structure of YAlCd, as listed in Alexandria via LeMat-Bulk.

Computed properties:
The space group is P-6m2, No. 187. As for the formation energy: -0.403 eV/atom.

Lattice parameters (Å, degrees): 4.706 4.706 3.589 90.00 90.00 120.00
Atoms (fractional coordinates):
Y: 0.333 0.667 0.667
Al: 0.000 0.000 0.167
Cd: 0.667 0.333 0.167

=====

First-principles (PBE-GGA) data for a relaxed structure of SnHgClF2, as listed in Alexandria via LeMat-Bulk.

Computed properties:
The space group is P4/mmm, No. 123. Its uncorrected formation energy is -1354 meV/atom.

Lattice parameters (Å, degrees): 4.498 4.498 5.700 90.00 90.00 90.00
Atoms (fractional coordinates):
F: 0.000 0.500 0.000
F: 0.500 0.000 0.000
Cl: 0.000 0.000 0.500
Hg: 0.500 0.500 0.500
Sn: 0.000 0.000 0.000

=====

First-principles (PBE-GGA) data for a relaxed structure of UTl2SbSe4, as listed in Alexandria via LeMat-Bulk.

Computed properties:
The space group is P2/m, No. 10. Its uncorrected formation energy is -606 meV/atom.

Lattice parameters (Å, degrees): 4.216 7.374 8.106 107.09 90.00 90.00
Site moments in Bohr magnetons follow the coordinates.
Atoms (fractional coordinates):
U: 0.500 0.500 0.000  2.55
Tl: 0.500 0.000 0.500  0.00
Tl: 0.000 0.500 0.500  0.01
Sb: 0.000 0.000 0.000  0.04
Se: 0.500 0.236 0.205  -0.02
Se: 0.500 0.764 0.795  -0.02
Se: 0.000 0.268 0.795  -0.04
Se: 0.000 0.732 0.205  -0.04

=====

First-principles (PBE-GGA) data for a relaxed structure of PrDyPt2, as listed in Alexandria via LeMat-Bulk.

Computed properties:
The space group is P4/mmm, No. 123. For the distance to the lowest polymorph of the same formula, the calculation gives 0.31 eV per formula unit. As for the formation energy: -1.111 eV/atom.

Lattice parameters (Å, degrees): 3.549 3.549 7.187 90.00 90.00 90.00
Atoms (fractional coordinates):
Pr: 0.500 0.500 0.500
Pt: 0.000 0.000 0.771
Pt: 0.000 0.000 0.229
Dy: 0.500 0.500 0.000

=====

First-principles (PBE-GGA) data for a relaxed structure of Pr3Zn2Pd3, as listed in Alexandria via LeMat-Bulk.

Computed properties:
The space group is Pnma, No. 62. For the distance to the lowest polymorph of the same formula, the calculation gives 0.17 eV per formula unit. As for the formation energy: -0.654 eV/atom.

Lattice parameters (Å, degrees): 5.841 7.972 15.584 90.00 90.00 90.00
Atoms (fractional coordinates):
Pr: 0.145 0.457 0.396
Pr: 0.645 0.043 0.604
Pr: 0.855 0.543 0.896
Pr: 0.355 0.957 0.104
Pr: 0.855 0.543 0.604
Pr: 0.355 0.957 0.396
Pr: 0.145 0.457 0.104
Pr: 0.645 0.043 0.896
Pr: 0.622 0.319 0.250
Pr: 0.122 0.181 0.750
Pr: 0.378 0.681 0.750
Pr: 0.878 0.819 0.250
Zn: 0.862 0.109 0.395
Zn: 0.362 0.391 0.605
Zn: 0.138 0.891 0.895
Zn: 0.638 0.609 0.105
Zn: 0.138 0.891 0.605
Zn: 0.638 0.609 0.395
Zn: 0.862 0.109 0.105
Zn: 0.362 0.391 0.895
Pd: 0.110 0.177 0.250
Pd: 0.610 0.323 0.750
Pd: 0.890 0.823 0.750
Pd: 0.390 0.677 0.250
Pd: 0.587 0.315 0.464
Pd: 0.087 0.185 0.536
Pd: 0.413 0.685 0.964
Pd: 0.913 0.815 0.036
Pd: 0.413 0.685 0.536
Pd: 0.913 0.815 0.464
Pd: 0.587 0.315 0.036
Pd: 0.087 0.185 0.964

=====

First-principles (PBE-GGA) data for a relaxed structure of TbY2HfP4, as listed in Alexandria via LeMat-Bulk.

Computed properties:
The space group is P2/m, No. 10. As for the formation energy: -1.535 eV/atom.

Lattice parameters (Å, degrees): 3.922 6.804 6.803 109.24 90.00 90.00
Atoms (fractional coordinates):
Tb: 0.500 0.500 0.000
Y: 0.500 0.000 0.500
Y: 0.000 0.500 0.500
Hf: 0.000 0.000 0.000
P: 0.500 0.236 0.236
P: 0.500 0.764 0.764
P: 0.000 0.242 0.757
P: 0.000 0.758 0.243

=====

First-principles (PBE-GGA) data for a relaxed structure of La2DyY6Tm, as listed in Alexandria via LeMat-Bulk.

Computed properties:
The space group is C2/c, No. 15. As for the formation energy: 0.116 eV/atom.

Lattice parameters (Å, degrees): 9.945 8.754 8.754 117.50 95.73 95.73
Atoms (fractional coordinates):
La: 0.455 0.807 0.712
La: 0.045 0.288 0.193
La: 0.545 0.193 0.288
La: 0.955 0.712 0.807
Dy: 0.250 0.986 0.014
Dy: 0.750 0.014 0.986
Y: 0.057 0.120 0.738
Y: 0.443 0.262 0.880
Y: 0.943 0.880 0.262
Y: 0.557 0.738 0.120
Y: 0.312 0.981 0.420
Y: 0.188 0.580 0.019
Y: 0.688 0.019 0.580
Y: 0.812 0.420 0.981
Y: 0.117 0.701 0.494
Y: 0.383 0.506 0.299
Y: 0.883 0.299 0.506
Y: 0.617 0.494 0.701
Tm: 0.250 0.403 0.597
Tm: 0.750 0.597 0.403